Compound: BaInSnHg
Source: Alexandria
Functional: PBE
Structure: optimized geometry

Values from the calculation:
**Magnetic moment**: 0.0 μB/cell
**Crystal system**: cubic
**Formation energy from the elements**: -336 meV per atom
**Excess energy over the best structure of this formula in the dataset**: 0 meV/atom

Cell lengths 5.6026, 5.6026, 5.6026 Å; angles 60.00, 60.00, 60.00 degrees
Last column: nearest neighbours and their distance in Å.
Fractional coordinates of all 4 atoms:
1 Ba 0.0000 0.0000 0.0000  4 Hg 3.43, 4 In 3.43
2 In 0.2500 0.2500 0.2500  4 Sn 3.43, 4 Ba 3.43
3 Sn 0.5000 0.5000 0.5000  4 In 3.43, 4 Hg 3.43
4 Hg 0.7500 0.7500 0.7500  4 Sn 3.43, 4 Ba 3.43